DFT (meta-GGA SCAN) results for a PBEsol-optimized structure of Ba3CaSe.

Properties
The crystal system is cubic. As for the uncorrected formation energy: -0.81 eV/atom. For the calculated density, the calculation gives 3.45 g cm⁻³. Its density of states at the Fermi level is 1.021 states/eV/atom. The calculation puts the calculated total energy at -30.49 eV/atom.

```
Ba3CaSe
1.0
-3.126 -4.938 2.473
3.960 -3.985 -2.951
3.849 0.089 5.044
Ba Ca Se
3 1 1
direct
0.000 0.500 0.000
0.500 0.000 0.000
0.000 0.000 0.500
0.500 0.500 0.500
0.000 0.000 0.000
```



DFT (meta-GGA SCAN) results for a PBEsol-optimized structure of SrBAsC2.

Properties
The formation enthalpy at 0 K comes out at 1980 meV/atom. The crystal system is tetragonal. For the calculated density, the calculation gives 4.68 g cm⁻³. Its density of states at the Fermi level is 0.401 states/eV/atom. The calculation puts the calculated total energy at -12.04 eV/atom.

```
SrBAsC2
1.0
3.750 0.000 0.000
0.000 3.750 0.000
0.000 0.000 4.984
As Sr B C
1 1 1 2
direct
0.500 0.500 0.500
0.000 0.000 0.500
0.000 0.000 0.000
0.500 0.000 0.000
0.000 0.500 0.000
```



DFT (meta-GGA SCAN) results for a PBEsol-optimized structure of RbGa2Ru.

Properties
The formation enthalpy at 0 K comes out at 842 meV/atom. The crystal system is cubic. For the calculated density, the calculation gives 6.91 g cm⁻³. Its density of states at the Fermi level is 1.148 states/eV/atom. The calculation puts the calculated total energy at -21.22 eV/atom.

```
RbGa2Ru
1.0
4.802 0.000 0.000
2.401 4.159 0.000
2.401 1.386 3.921
Ru Rb Ga
1 1 2
direct
0.500 0.500 0.500
0.000 0.000 0.000
0.250 0.250 0.250
0.750 0.750 0.750
```



> Look up the calculated density of the first one.

3.45 g cm⁻³